# Cs2CoCl6F (GGA+U, optimized geometry)
data_Cs2CoCl6F
_chemical_formula_sum 'Cs4 Co2 Cl12 F2'
_symmetry_space_group_name_H-M 'I 4/m m m'
_symmetry_Int_Tables_number 139
_symmetry_space_group_name_Hall '-I 4 2'
_cell_length_a 7.052
_cell_length_b 7.052
_cell_length_c 11.206
_cell_angle_alpha 90.00
_cell_angle_beta 90.00
_cell_angle_gamma 90.00
loop_
_atom_site_label
_atom_site_fract_x
_atom_site_fract_y
_atom_site_fract_z
Cs1 0.000 0.500 0.250
Co1 0.000 0.000 0.000
Cl1 0.000 0.000 0.202
Cl2 0.227 0.227 0.000
F1 0.000 0.000 0.500
# Final energy ... -2.980 eV/atom
# Magnetic moment ... 2.2 μB/f.u.